*one*
An optimized crystal structure of Pr4Y5Sc2. Source: Alexandria via LeMat-Bulk, functional GGA-PBE.

Computed properties:
DOS at the Fermi energy   17.836 states/eV/f.u.
Symmetry   C2/m

a b c (Å): 12.061 12.061 8.616
angles (deg): 94.86 94.86 16.82
Fractional coordinates of all 11 atoms:
Pr 0.039 0.039 0.347
Pr 0.276 0.276 0.177
Pr 0.724 0.724 0.823
Pr 0.961 0.961 0.653
Y 0.129 0.129 0.038
Y 0.182 0.182 0.474
Y 0.500 0.500 0.000
Y 0.818 0.818 0.526
Y 0.871 0.871 0.962
Sc 0.412 0.412 0.302
Sc 0.588 0.588 0.698



*two*
An optimized crystal structure of Pr4Y5Sc2. Source: Alexandria via LeMat-Bulk, functional GGA-PBE.

Computed properties:
DOS at the Fermi energy   18.019 states/eV/f.u.
Symmetry   C2/m

a b c (Å): 9.699 9.699 7.052
angles (deg): 95.66 95.66 32.66
Fractional coordinates of all 11 atoms:
Pr 0.060 0.060 0.199
Pr 0.318 0.318 0.624
Pr 0.682 0.682 0.376
Pr 0.940 0.940 0.801
Y 0.129 0.129 0.696
Y 0.250 0.250 0.134
Y 0.500 0.500 0.500
Y 0.750 0.750 0.866
Y 0.871 0.871 0.304
Sc 0.424 0.424 0.063
Sc 0.576 0.576 0.937



Of them, *one* has the lowest stability.



*one*
An optimized crystal structure of Pr7Y4Sc. Source: Alexandria via LeMat-Bulk, functional GGA-PBE.

Computed properties:
DOS at the Fermi energy   19.156 states/eV/f.u.
Symmetry   C2/m

a b c (Å): 8.745 8.745 9.447
angles (deg): 114.79 114.79 40.00
Fractional coordinates of all 12 atoms:
Pr 0.000 0.000 0.000
Pr 0.292 0.292 0.127
Pr 0.299 0.299 0.785
Pr 0.421 0.421 0.568
Pr 0.579 0.579 0.432
Pr 0.701 0.701 0.215
Pr 0.708 0.708 0.873
Y 0.075 0.075 0.698
Y 0.175 0.175 0.399
Y 0.825 0.825 0.601
Y 0.925 0.925 0.302
Sc 0.500 0.500 0.000



*two*
An optimized crystal structure of Pr7Y4Sc. Source: Alexandria via LeMat-Bulk, functional GGA-PBE.

Computed properties:
DOS at the Fermi energy   15.906 states/eV/f.u.
Symmetry   P2/m

a b c (Å): 6.297 7.332 9.046
angles (deg): 90.00 103.34 90.00
Fractional coordinates of all 12 atoms:
Pr 0.000 0.000 0.000
Pr 0.219 0.500 0.667
Pr 0.227 0.000 0.664
Pr 0.500 0.255 0.000
Pr 0.500 0.745 0.000
Pr 0.773 0.000 0.336
Pr 0.781 0.500 0.333
Y 0.275 0.254 0.330
Y 0.275 0.746 0.330
Y 0.725 0.254 0.670
Y 0.725 0.746 0.670
Sc 0.000 0.500 0.000



Of them, *one* has the lowest stability.



*one*
An optimized crystal structure of Pr3Y4Sc. Source: Alexandria via LeMat-Bulk, functional GGA-PBE.

Computed properties:
DOS at the Fermi energy   12.352 states/eV/f.u.
Symmetry   Immm

a b c (Å): 8.910 8.910 8.910
angles (deg): 157.34 97.72 86.73
Fractional coordinates of all 8 atoms:
Pr 0.000 0.000 0.000
Pr 0.260 0.760 0.500
Pr 0.740 0.240 0.500
Y 0.124 0.367 0.757
Y 0.390 0.633 0.757
Y 0.610 0.367 0.243
Y 0.876 0.633 0.243
Sc 0.500 0.500 0.000



*two*
An optimized crystal structure of Pr3Y4Sc. Source: Alexandria via LeMat-Bulk, functional GGA-PBE.

Computed properties:
DOS at the Fermi energy   14.342 states/eV/f.u.
Symmetry   Pmn2_1

a b c (Å): 11.455 7.325 6.296
angles (deg): 90.00 90.00 90.00
Fractional coordinates of all 16 atoms:
Pr 0.000 0.125 0.000
Pr 0.250 0.122 0.329
Pr 0.250 0.878 0.829
Pr 0.500 0.875 0.500
Pr 0.750 0.122 0.329
Pr 0.750 0.878 0.829
Y 0.000 0.374 0.500
Y 0.000 0.624 0.995
Y 0.244 0.625 0.337
Y 0.256 0.375 0.837
Y 0.500 0.376 0.495
Y 0.500 0.626 0.000
Y 0.744 0.375 0.837
Y 0.756 0.625 0.337
Sc 0.000 0.870 0.496
Sc 0.500 0.130 0.996



Of them, *one* has the lowest stability.